Record 1
Material: LaCu5
Method: DFT, GGA-PBE
State: relaxed

extended XYZ file:
```
6
Lattice="-4.1766 -2.5025 1.7138 -0.6751 -1.4878 -3.8179 4.6134 -2.3137 0.0858" Properties=species:S:1:pos:R:3 pbc="T T T"
Cu 2.0313 -2.1675 0.4854
Cu -0.8999 -2.2323 1.0291
Cu -2.0772 -1.7863 -1.1951
Cu -1.8589 -4.1945 -0.2953
Cu 0.2294 -2.9432 -1.1522
La -3.8288 -2.2941 1.5711
```

Values from the calculation:
Calculated formation energy ... -3.55 kcal/mol of atoms
Calculated total energy ... -4.389 eV per atom
Magnetic moment ... 0.0 μB per cell



Record 2
Material: LaCu3
Method: DFT, GGA-PBE
State: relaxed

extended XYZ file:
```
16
Lattice="-2.9424 4.4302 -1.2991 -5.7077 -3.8383 -0.1619 -1.1562 1.4066 7.4156" Properties=species:S:1:pos:R:3 pbc="T T T"
La -2.5762 0.7562 -0.1991
La -7.3776 1.6316 2.1257
La -2.4286 0.3668 3.8291
La -7.2300 1.2422 6.1539
Cu -4.8659 -2.0391 0.6009
Cu -2.8493 3.2894 4.1586
Cu -4.9884 1.8509 4.0979
Cu -4.4291 -0.6051 5.9916
Cu -6.5681 -2.0436 5.9309
Cu -3.7753 2.4504 1.9052
Cu -6.0310 -0.4520 4.0496
Cu -3.2382 4.0420 0.0238
Cu -5.3772 2.6035 -0.0368
Cu -4.8179 0.1475 1.8568
Cu -6.9570 -1.2910 1.7962
Cu -4.9404 4.0375 5.3538
```

Values from the calculation:
Calculated formation energy ... -3.85 kcal/mol of atoms
Calculated total energy ... -4.471 eV per atom
Magnetic moment ... 0.0 μB per cell



Record 3
Material: LaCu
Method: DFT, GGA-PBE
State: relaxed

extended XYZ file:
```
24
Lattice="-5.3962 0.1488 4.2951 1.7234 -8.2300 2.4503 5.9000 3.4073 7.2945" Properties=species:S:1:pos:R:3 pbc="T T T"
Cu -0.2344 -0.7437 2.5012
Cu 2.4617 -3.9301 11.5388
Cu 4.8303 -2.4314 8.9228
Cu -2.6031 -2.2425 5.1171
Cu 2.0910 -2.9888 5.5005
Cu 0.1363 -1.6850 8.5395
Cu 2.1221 1.6418 5.3792
Cu 0.1051 -6.3157 8.6608
Cu 1.4376 -6.0887 2.0171
Cu 3.4877 1.3405 9.8753
Cu 6.1858 1.2661 7.7278
Cu -1.2605 -6.0143 4.1646
La 0.1902 -3.5619 3.1324
La 2.0370 -1.1119 10.9076
La 5.5503 -5.0790 9.9190
La -3.3230 0.4052 4.1209
La 1.7942 -6.0989 5.2354
La 0.4330 1.4251 8.8046
La 3.5169 -0.4914 7.2055
La -1.2897 -4.1824 6.8345
La 4.8514 -4.1172 6.2378
La 0.0739 -0.6311 5.6546
La 2.7720 -0.7055 3.5071
La 2.1533 -4.0428 8.3854
```

Values from the calculation:
Calculated formation energy ... -2.13 kcal/mol of atoms
Calculated total energy ... -4.604 eV per atom
Magnetic moment ... 0.0 μB per cell



Record 4
Material: LaCu
Method: DFT, GGA-PBE
State: relaxed

extended XYZ file:
```
6
Lattice="-0.3672 -5.6671 -1.5385 1.2227 -5.4706 1.7875 -5.8469 -2.7256 2.9559" Properties=species:S:1:pos:R:3 pbc="T T T"
La 0.4548 -11.0293 0.4342
La -2.2059 -12.3506 1.7840
La -5.0204 -5.5760 2.7292
Cu -2.2037 -4.1785 1.3002
Cu -3.3622 -9.0360 2.1409
Cu -0.9493 -8.2467 0.9409
```

Values from the calculation:
Calculated formation energy ... -0.37 kcal/mol of atoms
Calculated total energy ... -4.528 eV per atom
Magnetic moment ... 0.0 μB per cell



Record 5
Material: LaCu
Method: DFT, GGA-PBE
State: relaxed

extended XYZ file:
```
8
Lattice="-0.7188 -0.7515 5.7964 -5.4126 -2.1186 -0.9459 2.2060 -5.4430 -0.4321" Properties=species:S:1:pos:R:3 pbc="T T T"
La -0.2457 -0.5203 0.2765
La -4.1472 -5.3769 1.4056
La -2.7539 -4.2772 4.7124
La -0.7040 -6.4519 2.4421
Cu -1.6513 -3.4971 1.8586
Cu -1.1617 -6.2982 -0.4860
Cu -5.2246 -2.8177 2.4528
Cu 0.1868 -4.0133 5.0111
```

Values from the calculation:
Calculated formation energy ... -0.16 kcal/mol of atoms
Calculated total energy ... -4.519 eV per atom
Magnetic moment ... 0.0 μB per cell



Record 6
Material: LaCu3
Method: DFT, GGA-PBE
State: relaxed

extended XYZ file:
```
4
Lattice="3.3849 0.0000 0.0000 0.0000 3.1256 0.0000 0.0000 0.0000 6.6132" Properties=species:S:1:pos:R:3 pbc="T T T"
Cu 0.0000 0.0000 6.1700
Cu 0.0000 0.0000 3.7499
Cu 1.6925 1.5628 4.9599
La 1.6925 1.5628 1.6533
```

Values from the calculation:
Calculated formation energy ... 0.36 kcal/mol of atoms
Calculated total energy ... -4.288 eV per atom
Magnetic moment ... 0.0 μB per cell



Record 7
Material: La3Cu5
Method: DFT, GGA-PBE
State: relaxed

extended XYZ file:
```
16
Lattice="9.4389 0.0000 0.0000 -4.7194 8.1743 0.0000 0.0000 0.0000 4.5860" Properties=species:S:1:pos:R:3 pbc="T T T"
Cu 0.0000 5.4495 0.0000
Cu 4.7194 2.7248 2.2930
Cu 4.7194 2.7248 0.0000
Cu 0.0000 5.4495 2.2930
Cu 1.4311 0.0000 1.1465
Cu 8.0077 0.0000 3.4395
Cu -0.7156 1.2394 1.1465
Cu 4.0039 6.9349 1.1465
Cu 0.7156 1.2394 3.4395
Cu -4.0039 6.9349 3.4395
La 5.9872 0.0000 1.1465
La 3.4517 0.0000 3.4395
La -2.9936 5.1851 1.1465
La 1.7258 2.9892 1.1465
La 2.9936 5.1851 3.4395
La -1.7258 2.9892 3.4395
```

Values from the calculation:
Energy above the lowest structure with this stoichiometry ... 0.00 eV/f.u.
Calculated formation energy ... -1.20 kcal/mol of atoms
Calculated total energy ... -4.460 eV per atom
Magnetic moment ... 0.0 μB per cell



Record 8
Material: La3Cu4
Method: DFT, GGA-PBE
State: relaxed

extended XYZ file:
```
14
Lattice="4.4557 0.0000 0.0000 -2.2278 5.2068 -0.0002 0.0000 0.0015 13.4960" Properties=species:S:1:pos:R:3 pbc="T T T"
La 2.2278 2.3880 1.3669
La 0.0000 2.8454 12.1387
La 2.2278 2.3881 5.3901
La 0.0000 2.8442 8.1139
La 0.0000 0.1411 3.3784
La 2.2278 5.0907 10.1264
Cu 0.0000 3.2691 3.3776
Cu 2.2278 1.9625 10.1255
Cu 0.0000 4.5931 1.1529
Cu 0.0000 0.0115 0.0050
Cu 0.0000 4.5942 5.6043
Cu 2.2278 0.6409 12.3511
Cu 0.0000 0.0106 6.7547
Cu 2.2278 0.6397 7.9020
```

Values from the calculation:
Energy above the lowest structure with this stoichiometry ... 0.00 eV/f.u.
Calculated formation energy ... -3.67 kcal/mol of atoms
Calculated total energy ... -4.611 eV per atom
Magnetic moment ... 0.0 μB per cell



Record 9
Material: La5Cu6
Method: DFT, GGA-PBE
State: relaxed

extended XYZ file:
```
11
Lattice="-1.3821 -2.0910 3.0337 1.3382 -3.7494 -1.9746 12.6854 3.0210 7.8615" Properties=species:S:1:pos:R:3 pbc="T T T"
La 8.0815 -2.2246 4.7007
La 4.5601 -0.5948 4.2198
La 3.7513 -1.6101 0.5992
La 10.2724 0.8817 5.2877
La 0.0000 0.0000 0.0000
Cu 1.0633 -2.8270 1.0881
Cu 11.5783 0.0077 7.8324
Cu 6.7126 -1.3559 2.1236
Cu 7.3110 0.6275 3.7633
Cu 11.0939 -1.9660 6.2514
Cu 1.5477 -0.8533 2.6692
```

Values from the calculation:
Calculated formation energy ... -4.13 kcal/mol of atoms
Calculated total energy ... -4.653 eV per atom
Magnetic moment ... 0.0 μB per cell



Record 10
Material: LaCu
Method: DFT, GGA-PBE
State: relaxed

extended XYZ file:
```
8
Lattice="4.6325 0.0000 0.0000 0.0000 5.6794 0.0000 0.0000 0.0000 7.5768" Properties=species:S:1:pos:R:3 pbc="T T T"
Cu 1.1581 0.6355 0.2488
Cu 3.4744 5.0439 7.3280
Cu 3.4744 3.4752 3.5396
Cu 1.1581 2.2042 4.0371
La 1.1581 3.4965 1.3567
La 3.4744 2.1829 6.2200
La 3.4744 0.6568 2.4317
La 1.1581 5.0226 5.1451
```

Values from the calculation:
Calculated formation energy ... -4.18 kcal/mol of atoms
Calculated total energy ... -4.693 eV per atom
Magnetic moment ... 0.0 μB per cell